(1)
GGA-PBE FeI3, relaxed; space group = Pm-3m (221); total energy = -2.236 eV/atom
1.0
5.038 0.000 0.000
0.000 5.038 0.000
0.000 0.000 5.038
Fe I
1 3
Cartesian
0.000 0.000 0.000
2.519 2.519 0.000
2.519 0.000 2.519
0.000 2.519 2.519

***

(2)
GGA-PBE FeI, relaxed; energy relative to the lowest polymorph listed for this composition = 0.521 eV per formula unit; space group = P-6m2 (187); total energy = -4.208 eV/atom
1.0
3.761 0.000 0.000
-1.881 3.257 0.000
0.000 0.000 3.645
Fe I
1 1
Cartesian
1.881 1.086 2.734
0.000 2.172 0.911

***

(3)
GGA-PBE FeI, relaxed; energy relative to the lowest polymorph listed for this composition = 0.759 eV per formula unit; space group = R-3m (166); total energy = -4.090 eV/atom
1.0
1.799 1.039 3.369
-1.799 1.039 3.369
0.000 -2.078 3.369
Fe I
1 1
Cartesian
0.000 0.000 0.000
0.000 0.000 5.053

***

(4)
GGA-PBE FeI3, relaxed; space group = Fm-3m (225); total energy = -2.423 eV/atom
1.0
0.000 3.909 3.909
3.909 0.000 3.909
3.909 3.909 0.000
Fe I
1 3
Cartesian
5.864 5.864 5.864
0.000 0.000 0.000
1.955 1.955 1.955
3.909 3.909 3.909

***

(5)
GGA-PBE FeI, relaxed; energy relative to the lowest polymorph listed for this composition = 0.474 eV per formula unit; space group = Fm-3m (225); total energy = -4.232 eV/atom
1.0
0.000 2.850 2.850
2.850 0.000 2.850
2.850 2.850 0.000
Fe I
1 1
Cartesian
0.000 0.000 0.000
2.850 2.850 2.850

***

(6)
GGA-PBE Fe2I3, relaxed; space group = R-3c (167); total energy = -4.107 eV/atom
1.0
-7.027 0.000 0.000
3.513 -6.085 0.000
-3.513 2.028 6.486
Fe I
4 6
Cartesian
-3.513 -2.028 0.146
-7.027 0.000 3.097
0.000 -4.057 3.389
-3.513 -2.028 6.340
-2.262 -4.057 1.622
-2.382 0.070 1.622
-5.896 -2.098 1.622
-1.131 -1.959 4.865
-4.644 -4.127 4.865
-4.765 0.000 4.865

***

(7)
GGA-PBE FeI, relaxed; energy relative to the lowest polymorph listed for this composition = 0.113 eV per formula unit; space group = F-43m (216); total energy = -4.413 eV/atom
1.0
-0.068 -4.284 0.285
-2.241 -1.908 3.126
-3.591 -2.157 -0.942
Fe I
1 1
Cartesian
0.000 0.000 0.000
-1.475 -2.087 0.618

***

(8)
GGA-PBE FeI3, relaxed; space group = Ama2 (40); total energy = -3.352 eV/atom
1.0
-4.858 -6.490 1.223
-3.672 3.620 4.622
-5.379 3.550 -2.531
Fe I
2 6
Cartesian
-6.376 2.598 2.199
-9.122 -0.660 1.482
-4.598 -4.008 1.688
-2.418 -0.773 0.034
-4.107 3.253 0.949
-6.537 0.008 1.560
-10.488 0.661 3.071
-8.318 3.896 1.374

***

> What is the formula in the second record?

FeI